Record 1
Computed, not measured: an optimized crystal structure of CaAcNd2 at the GGA-PBE level of DFT.

## Properties
* raw total energy: -3.858 eV per atom
* theoretical density: 5817 kg/m3
* energy above the lowest structure with this stoichiometry: 0.001 eV per atom

Cell: 3.793 6.018 14.004 Å, 90.00 97.10 90.00°
Space group P2_1/m (No. 11)
Symmetry-distinct sites (fractional):
1 Ca 0.193 0.250 0.419 x2
2 Ac 0.365 0.250 0.695 x2
3 Nd 0.034 0.750 0.075 x2
4 Nd 0.429 0.750 0.844 x2

Record 2
Computed, not measured: an optimized crystal structure of CaAc7Nd2 at the GGA-PBE level of DFT.

## Properties
* raw total energy: -3.505 eV per atom
* theoretical density: 6067 kg/m3

Cell: 10.234 16.539 6.201 Å, 90.00 90.00 90.00°
Space group Cmmm (No. 65)
Symmetry-distinct sites (fractional):
1 Ca 0.000 0.000 0.000 x2
2 Ac 0.000 0.255 0.000 x4
3 Ac 0.000 0.500 0.500 x2
4 Ac 0.187 0.126 0.500 x8
5 Nd 0.000 0.299 0.500 x4

Please write out number 2 again, unchanged.
Computed, not measured: an optimized crystal structure of CaAc7Nd2 at the GGA-PBE level of DFT.

## Properties
* raw total energy: -3.505 eV per atom
* theoretical density: 6067 kg/m3

Cell: 10.234 16.539 6.201 Å, 90.00 90.00 90.00°
Space group Cmmm (No. 65)
Symmetry-distinct sites (fractional):
1 Ca 0.000 0.000 0.000 x2
2 Ac 0.000 0.255 0.000 x4
3 Ac 0.000 0.500 0.500 x2
4 Ac 0.187 0.126 0.500 x8
5 Nd 0.000 0.299 0.500 x4

> Among the records above, which one has the lowest raw total energy?

CaAcNd2

> Among the records above, which one has the highest raw total energy?

CaAc7Nd2